# 1
This record from Alexandria describes a relaxed CsUI3Br crystal. The functional is PBE.

Unit cell a=5.364 b=8.155 c=24.600 alpha=90.00 beta=90.00 gamma=90.00
Space group Imma (No. 74)
Unique sites:
1 Cs 0.000 0.250 0.055 [4 per cell]
2 U 0.000 0.250 0.697 [4 per cell]
3 I 0.000 0.026 0.804 [8 per cell]
4 I 0.000 0.250 0.571 [4 per cell]
5 Br 0.000 0.250 0.360 [4 per cell]

Results
Formation energy without anion corrections   -0.981 eV per atom
Total magnetic moment   3.00 μB/f.u.
Uncorrected energy   -4.06 eV per atom

---

# 2
This record from Alexandria describes a relaxed Pm4Er5Th crystal. The functional is PBE.

Unit cell a=11.706 b=5.471 c=10.416 alpha=90.00 beta=90.66 gamma=90.00
Space group C2/m (No. 12)
Unique sites:
1 Pm 0.051 0.000 0.253 [4 per cell]
2 Pm 0.171 0.500 0.749 [4 per cell]
3 Er 0.000 0.500 0.500 [2 per cell]
4 Er 0.193 0.000 0.938 [4 per cell]
5 Er 0.198 0.000 0.568 [4 per cell]
6 Th 0.000 0.500 0.000 [2 per cell]

Results
Total magnetic moment   0.00 μB/f.u.
Uncorrected energy   -4.73 eV per atom
ΔE to the lowest computed polymorph   0.000 eV per atom

---

# 3
This record from Alexandria describes a relaxed AlTe2PN crystal. The functional is PBE.

Unit cell a=5.595 b=5.595 c=3.302 alpha=90.00 beta=90.00 gamma=90.00
Space group P4/mmm (No. 123)
Unique sites:
1 Al 0.000 0.000 0.000 [1 per cell]
2 Te 0.000 0.500 0.500 [2 per cell]
3 P 0.500 0.500 0.500 [1 per cell]
4 N 0.500 0.500 0.000 [1 per cell]

Results
Formation energy without anion corrections   0.510 eV per atom
Total magnetic moment   0.00 μB/f.u.
Uncorrected energy   -4.24 eV per atom
ΔE to the lowest computed polymorph   0.000 eV per atom

---

# 4
This record from Alexandria describes a relaxed HfScRu3 crystal. The functional is PBE.

Unit cell a=4.552 b=4.552 c=4.552 alpha=90.00 beta=90.00 gamma=90.00
Space group Pm-3m (No. 221)
Unique sites:
1 Hf 0.000 0.000 0.000 [1 per cell]
2 Sc 0.500 0.500 0.500 [1 per cell]
3 Ru 0.000 0.500 0.500 [3 per cell]

Results
Total magnetic moment   0.00 μB/f.u.
Uncorrected energy   -7.92 eV per atom
ΔE to the lowest computed polymorph   0.000 eV per atom

---

# 5
This record from Alexandria describes a relaxed Ac2Cd16Hg crystal. The functional is PBE.

Unit cell a=10.2761 b=10.2761 c=15.0918 alpha=90.00 beta=90.00 gamma=120.00
Space group R3m (No. 160, hexagonal axes)
Unique sites:
1 Ac 0.0000 0.0000 0.0000 [3 per cell]
2 Ac 0.0000 0.0000 0.3331 [3 per cell]
3 Cd 0.0000 0.0000 0.7622 [3 per cell]
4 Cd 0.9996 0.2963 0.6663 [18 per cell]
5 Cd 0.0133 0.5067 0.8155 [9 per cell]
6 Cd 0.1691 0.3382 0.5003 [9 per cell]
7 Cd 0.1730 0.3460 0.8502 [9 per cell]
8 Hg 0.0000 0.0000 0.5599 [3 per cell]

Results
Total magnetic moment   0.00 μB/f.u.
Uncorrected energy   -1.41 eV per atom

---

# 6
This record from Alexandria describes a relaxed Tb2HoGa crystal. The functional is PBE.

Unit cell a=7.527 b=7.527 c=7.527 alpha=90.00 beta=90.00 gamma=90.00
Space group Fm-3m (No. 225)
Unique sites:
1 Tb 0.250 0.250 0.250 [8 per cell]
2 Ho 0.000 0.000 0.000 [4 per cell]
3 Ga 0.000 0.000 0.500 [4 per cell]

Results
Total magnetic moment   0.87 μB/f.u.
Uncorrected energy   -4.30 eV per atom
ΔE to the lowest computed polymorph   0.193 eV per atom

---

# 7
This record from Alexandria describes a relaxed ThCuRu crystal. The functional is PBE.

Unit cell a=4.284 b=10.155 c=5.316 alpha=90.00 beta=90.00 gamma=90.00
Space group Cmcm (No. 63)
Unique sites:
1 Th 0.000 0.188 0.250 [4 per cell]
2 Cu 0.000 0.500 0.000 [4 per cell]
3 Ru 0.000 0.106 0.750 [4 per cell]

Results
Total magnetic moment   0.00 μB/f.u.
Uncorrected energy   -7.24 eV per atom
ΔE to the lowest computed polymorph   0.000 eV per atom

---

# 8
This record from Alexandria describes a relaxed Be2AlSiPb crystal. The functional is PBE.

Unit cell a=4.489 b=4.489 c=4.925 alpha=90.00 beta=90.00 gamma=90.00
Space group P4/mmm (No. 123)
Unique sites:
1 Be 0.000 0.500 0.000 [2 per cell]
2 Al 0.000 0.000 0.000 [1 per cell]
3 Si 0.000 0.000 0.500 [1 per cell]
4 Pb 0.500 0.500 0.500 [1 per cell]

Results
Formation energy without anion corrections   0.927 eV per atom
Total magnetic moment   0.00 μB/f.u.
Uncorrected energy   -3.14 eV per atom